Compound: KNa2CrF8
Source: Alexandria
Functional: PBE with a Hubbard U
Structure: optimized geometry

- Raw total energy: -4.62 eV/atom

Lattice parameters (Å, degrees): 4.974 5.004 7.496 90.04 90.08 90.90
Fractional positions:
1 K 0.000 0.000 0.000
2 Na 0.500 0.500 0.284
3 Na 0.500 0.500 0.716
4 Cr 0.000 0.000 0.500
5 F 0.205 0.843 0.320
6 F 0.206 0.844 0.680
7 F 0.236 0.291 0.500
8 F 0.305 0.455 0.000
9 F 0.695 0.545 0.000
10 F 0.764 0.709 0.500
11 F 0.794 0.156 0.320
12 F 0.795 0.157 0.680